No. 1
## AlCr2AgP (GGA-PBEsol)

Data for crystalline AlCr2AgP at its relaxed geometry.

Structure (POSCAR):
```
AlCr2AgP
1.0
-1.158 4.340 -0.758
-4.033 -0.717 2.054
1.838 1.193 4.025
P Ag Cr Al
1 1 2 1
Direct
0.500 0.500 0.500
0.500 0.000 0.000
0.000 0.000 0.500
0.000 0.500 0.000
0.000 0.000 0.000
```

Computed properties:
Total magnetic moment = 1.262 μB/atom
Density of states at the Fermi level = 0.68 states/eV/atom
Formation enthalpy at 0 K = 1.34 eV/atom
Density = 4.68 g/cm3
Symmetry = P4/mmm
Calculated volume = 96 Å³/f.u.

No. 2
## Ta2CdSi (GGA-PBEsol)

Data for crystalline Ta2CdSi at its relaxed geometry.

Structure (POSCAR):
```
Ta2CdSi
1.0
2.819 0.000 0.000
0.000 4.910 -0.077
-1.410 -1.075 4.877
Ta Si Cd
2 1 1
Direct
0.984 0.960 0.968
0.755 0.279 0.509
0.251 0.785 0.501
0.511 0.476 0.022
```

Computed properties:
Uncorrected formation energy = 0.128 eV per atom
Total magnetic moment = 0.000 μB/atom
Density of states at the Fermi level = 0.46 states/eV/atom
Density = 12.40 g/cm3
Symmetry = Cm
Calculated volume = 67 Å³/f.u.

No. 3
## YRhS2 (GGA-PBEsol)

Data for crystalline YRhS2 at its relaxed geometry.

Structure (POSCAR):
```
YRhS2
1.0
3.584 0.000 0.000
1.792 3.104 0.000
1.792 1.035 7.614
Y Rh S
1 1 2
Direct
0.000 0.000 0.000
0.500 0.500 0.500
0.884 0.884 0.349
0.116 0.116 0.651
```

Computed properties:
Uncorrected formation energy = -0.633 eV per atom
Total magnetic moment = 0.000 μB/atom
Density of states at the Fermi level = 0.25 states/eV/atom
Density = 5.02 g/cm3
Symmetry = R-3m
Calculated volume = 85 Å³/f.u.

No. 4
## Rb2MgNbHg (GGA-PBEsol)

Data for crystalline Rb2MgNbHg at its relaxed geometry.

Structure (POSCAR):
```
Rb2MgNbHg
1.0
5.443 0.000 0.000
0.000 6.772 0.000
0.000 0.000 6.772
Mg Hg Rb Nb
1 1 2 1
Direct
0.500 0.500 0.500
0.500 0.000 0.000
0.000 0.000 0.500
0.000 0.500 0.000
0.000 0.000 0.000
```

Computed properties:
Total magnetic moment = 0.811 μB/atom
Density of states at the Fermi level = 1.10 states/eV/atom
Formation enthalpy at 0 K = 1.12 eV/atom
Density = 3.25 g/cm3
Symmetry = P4/mmm
Calculated volume = 250 Å³/f.u.

No. 5
## Li3Nb4CuO12 (GGA-PBEsol)

Data for crystalline Li3Nb4CuO12 at its relaxed geometry.

Structure (POSCAR):
```
Li3Nb4CuO12
1.0
5.163 0.002 -0.001
0.007 5.544 -0.007
0.002 0.737 7.551
Nb Li O Cu
4 3 12 1
Direct
0.001 0.010 0.000
0.498 0.503 0.505
0.495 0.511 0.012
0.003 0.015 0.501
0.996 0.444 0.222
0.502 0.942 0.225
0.503 0.938 0.718
0.180 0.351 0.453
0.132 0.041 0.767
0.800 0.732 0.587
0.629 0.553 0.268
0.686 0.221 0.585
0.319 0.852 0.461
0.196 0.730 0.093
0.308 0.227 0.089
0.826 0.359 0.969
0.378 0.553 0.768
0.873 0.049 0.265
0.677 0.861 0.962
0.999 0.540 0.769
```

Computed properties:
Uncorrected formation energy = -2.316 eV per atom
Total magnetic moment = 0.004 μB/atom
Density = 4.98 g/cm3
Symmetry = P1
Calculated volume = 216 Å³/f.u.

No. 6
## GaHgI2O (GGA-PBEsol)

Data for crystalline GaHgI2O at its relaxed geometry.

Structure (POSCAR):
```
GaHgI2O
1.0
-1.923 -0.813 -3.533
4.795 -2.787 -1.969
-2.009 -5.050 2.255
I O Hg Ga
2 1 1 1
Direct
0.000 0.000 0.500
0.000 0.500 0.000
0.500 0.000 0.000
0.000 0.000 0.000
0.500 0.500 0.500
```

Computed properties:
Uncorrected formation energy = 0.084 eV per atom
Total magnetic moment = 0.085 μB/atom
Density of states at the Fermi level = 0.93 states/eV/atom
Density = 6.31 g/cm3
Symmetry = P4/mmm
Calculated volume = 142 Å³/f.u.